Crystalline Rb2NaIn2Te4 at its relaxed geometry, computed with PBE.

a = 5.0561 Å, b = 9.0220 Å, c = 8.5124 Å
α = 106.40°, β = 90.00°, γ = 106.27°
Last column: nearest neighbours and their distance in Å.
Fractional coordinates of all 9 atoms:
Te1 0.5174 0.0348 0.7521  1 In 2.78
Te2 0.7929 0.5858 0.8200  3 In 2.95-3.03
Rb1 0.8788 0.7575 0.4499  7 Te 3.79-4.06, 1 Rb 4.03
Na1 0.0000 0.0000 0.0000  6 Te 3.36-3.46
Rb2 0.1212 0.2425 0.5501  7 Te 3.79-4.06, 1 Rb 4.03
Te3 0.2071 0.4142 0.1800  3 In 2.95-3.03
Te4 0.4826 0.9652 0.2479  1 In 2.78
In1 0.3355 0.6710 0.0029  4 Te 2.78-3.03
In2 0.6645 0.3290 0.9971  4 Te 2.78-3.03

Output
Formation energy (no corrections) ... -693 meV/atom
Theoretical density ... 4.353 g cm⁻³

Crystalline Rb2NaTl12In3 at its relaxed geometry, computed with PBE.

a = 8.5000 Å, b = 8.5000 Å, c = 8.5000 Å
α = 84.98°, β = 84.98°, γ = 84.98°
Last column: nearest neighbours and their distance in Å.
Fractional coordinates of all 18 atoms:
Tl1 0.8680 0.4111 0.4111  4 Tl 3.18-3.43
Tl2 0.1938 0.1938 0.7093  1 In 3.18, 5 Tl 3.18-3.43, 1 Na 3.25
In1 0.0000 0.0000 0.5000  2 Tl 3.18
Rb1 0.7192 0.7192 0.7192  9 Tl 3.68-3.92, 3 In 3.78
Tl3 0.4111 0.8680 0.4111  4 Tl 3.18-3.43
Tl4 0.5889 0.1320 0.5889  4 Tl 3.18-3.43
Rb2 0.2808 0.2808 0.2808  9 Tl 3.68-3.92, 3 In 3.78
Na1 0.0000 0.0000 0.0000  6 Tl 3.25
In2 0.5000 0.0000 0.0000  2 Tl 3.18
Tl5 0.1938 0.7093 0.1938  1 In 3.18, 5 Tl 3.18-3.43, 1 Na 3.25
Tl6 0.8062 0.2907 0.8062  1 In 3.18, 5 Tl 3.18-3.43, 1 Na 3.25
Tl7 0.7093 0.1938 0.1938  1 In 3.18, 5 Tl 3.18-3.43, 1 Na 3.25
Tl8 0.2907 0.8062 0.8062  1 In 3.18, 5 Tl 3.18-3.43, 1 Na 3.25
Tl9 0.1320 0.5889 0.5889  4 Tl 3.18-3.43
In3 0.0000 0.5000 0.0000  2 Tl 3.18
Tl10 0.4111 0.4111 0.8680  4 Tl 3.18-3.43
Tl11 0.5889 0.5889 0.1320  4 Tl 3.18-3.43
Tl12 0.8062 0.8062 0.2907  1 In 3.18, 5 Tl 3.18-3.43, 1 Na 3.25

Output
Energy relative to the elements ... 0.03 eV/atom
Theoretical density ... 8.176 g cm⁻³

Crystalline RbNaTl3In at its relaxed geometry, computed with PBE.

a = 7.1876 Å, b = 7.4657 Å, c = 8.6070 Å
α = 115.70°, β = 90.00°, γ = 90.00°
Last column: nearest neighbours and their distance in Å.
Fractional coordinates of all 12 atoms:
Tl1 0.0000 0.7151 0.0000  2 Na 3.12, 3 Tl 3.21-3.48, 2 In 3.27
Na1 0.7500 0.0903 0.1806  4 Tl 3.12, 1 Rb 3.30
Tl2 0.7500 0.8650 0.7300  1 In 3.45, 4 Tl 3.48, 3 Na 3.49-3.66, 2 Rb 3.85
In1 0.2500 0.3576 0.7153  5 Tl 3.27-3.45
Tl3 0.5000 0.7151 0.0000  2 Na 3.12, 3 Tl 3.21-3.48, 2 In 3.27
Tl4 0.0000 0.2849 0.0000  2 Na 3.12, 3 Tl 3.21-3.48, 2 In 3.27
Rb1 0.7500 0.3031 0.6063  1 Na 3.30, 2 In 3.69
Tl5 0.2500 0.1350 0.2700  1 In 3.45, 4 Tl 3.48, 3 Na 3.49-3.66, 2 Rb 3.85
Rb2 0.2500 0.6969 0.3937  1 Na 3.30, 2 In 3.69
Tl6 0.5000 0.2849 0.0000  2 Na 3.12, 3 Tl 3.21-3.48, 2 In 3.27
In2 0.7500 0.6424 0.2847  5 Tl 3.27-3.45
Na2 0.2500 0.9097 0.8194  4 Tl 3.12, 1 Rb 3.30

Output
Energy relative to the elements ... -0.03 eV/atom
Theoretical density ... 6.675 g cm⁻³

Crystalline Rb2Na3Tl12In at its relaxed geometry, computed with PBE.

a = 12.3768 Å, b = 12.3768 Å, c = 12.3768 Å
α = 38.43°, β = 38.43°, γ = 38.43°
Last column: nearest neighbours and their distance in Å.
Fractional coordinates of all 18 atoms:
Rb1 0.3488 0.3488 0.3488  6 Tl 3.94-3.97
Tl1 0.0763 0.6385 0.0763  1 In 3.16, 2 Tl 3.22, 1 Na 3.34
Tl2 0.4190 0.4190 0.8085  2 Na 3.14, 4 Tl 3.17-3.22
Tl3 0.1915 0.5810 0.5810  2 Na 3.14, 4 Tl 3.17-3.22
Na1 0.0000 0.5000 0.0000  6 Tl 3.14-3.34
Tl4 0.5810 0.1915 0.5810  2 Na 3.14, 4 Tl 3.17-3.22
Tl5 0.6385 0.0763 0.0763  1 In 3.16, 2 Tl 3.22, 1 Na 3.34
Tl6 0.3615 0.9237 0.9237  1 In 3.16, 2 Tl 3.22, 1 Na 3.34
Tl7 0.8085 0.4190 0.4190  2 Na 3.14, 4 Tl 3.17-3.22
Tl8 0.9237 0.3615 0.9237  1 In 3.16, 2 Tl 3.22, 1 Na 3.34
Tl9 0.0763 0.0763 0.6385  1 In 3.16, 2 Tl 3.22, 1 Na 3.34
Tl10 0.9237 0.9237 0.3615  1 In 3.16, 2 Tl 3.22, 1 Na 3.34
Na2 0.5000 0.0000 0.0000  6 Tl 3.14-3.34
Tl11 0.5810 0.5810 0.1915  2 Na 3.14, 4 Tl 3.17-3.22
Rb2 0.6512 0.6512 0.6512  6 Tl 3.94-3.97
In1 0.0000 0.0000 0.0000  6 Tl 3.16
Tl12 0.4190 0.8085 0.4190  2 Na 3.14, 4 Tl 3.17-3.22
Na3 0.0000 0.0000 0.5000  6 Tl 3.14-3.34

Output
Energy relative to the elements ... 0.02 eV/atom
Theoretical density ... 7.086 g cm⁻³

Crystalline RbNaTl6In at its relaxed geometry, computed with PBE.

a = 6.2720 Å, b = 11.4368 Å, c = 11.5713 Å
α = 119.62°, β = 105.72°, γ = 90.00°
Last column: nearest neighbours and their distance in Å.
Fractional coordinates of all 18 atoms:
Tl1 0.5842 0.3303 0.6715  5 Tl 3.12-3.47, 1 In 3.24
In1 0.0000 0.0000 0.5000  2 In 3.14, 6 Tl 3.21-3.24
Tl2 0.7177 0.4677 0.4354  6 Tl 3.37-3.47
Na1 0.5000 0.0000 0.0000  4 Tl 3.51
Tl3 0.2823 0.5323 0.5646  6 Tl 3.37-3.47
Tl4 0.4158 0.1588 0.3285  5 Tl 3.12-3.47, 1 In 3.24
Tl5 0.0873 0.8412 0.6715  5 Tl 3.12-3.47, 1 In 3.24
In2 0.5000 0.0000 0.5000  2 In 3.14, 6 Tl 3.21-3.24
Tl6 0.4158 0.6697 0.3285  5 Tl 3.12-3.47, 1 In 3.24
Tl7 0.5842 0.8412 0.6715  5 Tl 3.12-3.47, 1 In 3.24
Tl8 0.1032 0.8532 0.2064  2 In 3.21, 4 Tl 3.42, 1 Rb 3.46
Na2 0.5000 0.5000 0.0000  4 Tl 3.51
Tl9 0.9127 0.6697 0.3285  5 Tl 3.12-3.47, 1 In 3.24
Rb1 0.0780 0.3280 0.1560  5 Tl 3.46-3.71
Tl10 0.9127 0.1588 0.3285  5 Tl 3.12-3.47, 1 In 3.24
Rb2 0.9220 0.6720 0.8440  5 Tl 3.46-3.71
Tl11 0.8968 0.1468 0.7936  2 In 3.21, 4 Tl 3.42, 1 Rb 3.46
Tl12 0.0873 0.3303 0.6715  5 Tl 3.12-3.47, 1 In 3.24

Output
Energy relative to the elements ... 0.05 eV/atom
Theoretical density ... 7.022 g cm⁻³

Crystalline Rb2Na2Tl5In2 at its relaxed geometry, computed with PBE.

a = 5.5268 Å, b = 5.5268 Å, c = 17.7309 Å
α = 98.97°, β = 98.97°, γ = 90.00°
Last column: nearest neighbours and their distance in Å.
Fractional coordinates of all 11 atoms:
Na1 0.3290 0.3290 0.6581  4 Tl 3.26
Tl1 0.3792 0.8792 0.7584  2 In 3.04, 2 Na 3.26
Na2 0.6710 0.6710 0.3419  4 Tl 3.26
Tl2 0.8792 0.3792 0.7584  2 In 3.04, 2 Na 3.26
Tl3 0.0000 0.0000 0.0000  2 In 2.91
In1 0.9159 0.9159 0.8318  5 Tl 2.91-3.04
Rb1 0.7974 0.7974 0.5949  4 Tl 3.95, 5 Na 4.06-4.37, 1 In 4.10
Tl4 0.1208 0.6208 0.2416  2 In 3.04, 2 Na 3.26
Rb2 0.2026 0.2026 0.4051  4 Tl 3.95, 5 Na 4.06-4.37, 1 In 4.10
Tl5 0.6208 0.1208 0.2416  2 In 3.04, 2 Na 3.26
In2 0.0841 0.0841 0.1682  5 Tl 2.91-3.04

Output
Energy relative to the elements ... 0.15 eV/atom
Theoretical density ... 4.616 g cm⁻³

Crystalline Rb2NaZnIn at its relaxed geometry, computed with PBE.

a = 7.0049 Å, b = 7.0049 Å, c = 5.0572 Å
α = 90.00°, β = 90.00°, γ = 90.00°
Last column: nearest neighbours and their distance in Å.
Fractional coordinates of all 5 atoms:
Rb1 0.5000 0.0000 0.0000  2 Zn 3.50
Na1 0.5000 0.5000 0.5000  8 Rb 4.32
Zn1 0.0000 0.0000 0.0000  2 In 2.53
In1 0.0000 0.0000 0.5000  2 Zn 2.53
Rb2 0.0000 0.5000 0.0000  2 Zn 3.50

Output
Energy relative to the elements ... 0.13 eV/atom
Theoretical density ... 2.504 g cm⁻³

Crystalline Na3InRe at its relaxed geometry, computed with PBE.

a = 5.7547 Å, b = 5.7547 Å, c = 5.7547 Å
α = 90.00°, β = 90.00°, γ = 90.00°
Last column: nearest neighbours and their distance in Å.
Fractional coordinates of all 5 atoms:
Na1 0.0000 0.0000 0.5000  2 Re 2.88
Na2 0.0000 0.5000 0.0000  2 Re 2.88
Re1 0.0000 0.0000 0.0000  6 Na 2.88
Na3 0.5000 0.0000 0.0000  2 Re 2.88
In1 0.5000 0.5000 0.5000  12 Na 4.07

Output
Energy relative to the elements ... 1.42 eV/atom
Excess energy over the best structure of this formula in the dataset ... 0.00 eV per formula unit
Theoretical density ... 3.224 g cm⁻³

Crystalline NaIn3Re at its relaxed geometry, computed with PBE.

a = 5.2535 Å, b = 5.2535 Å, c = 5.2535 Å
α = 90.00°, β = 90.00°, γ = 90.00°
Last column: nearest neighbours and their distance in Å.
Fractional coordinates of all 5 atoms:
In1 0.0000 0.0000 0.5000  2 Re 2.63
Re1 0.0000 0.0000 0.0000  6 In 2.63
In2 0.5000 0.0000 0.0000  2 Re 2.63
Na1 0.5000 0.5000 0.5000  12 In 3.71
In3 0.0000 0.5000 0.0000  2 Re 2.63

Output
Energy relative to the elements ... 0.24 eV/atom
Excess energy over the best structure of this formula in the dataset ... 0.00 eV per formula unit
Theoretical density ... 6.341 g cm⁻³

Crystalline Na3InRe at its relaxed geometry, computed with PBE.

a = 5.7282 Å, b = 5.7282 Å, c = 5.7282 Å
α = 90.00°, β = 90.00°, γ = 90.00°
Last column: nearest neighbours and their distance in Å.
Fractional coordinates of all 5 atoms:
Na1 0.0000 0.0000 0.5000  2 In 2.86
Na2 0.0000 0.5000 0.0000  2 In 2.86
Re1 0.5000 0.5000 0.5000  12 Na 4.05
In1 0.0000 0.0000 0.0000  6 Na 2.86
Na3 0.5000 0.0000 0.0000  2 In 2.86

Output
Energy relative to the elements ... 1.50 eV/atom
Excess energy over the best structure of this formula in the dataset ... 0.41 eV per formula unit
Theoretical density ... 3.269 g cm⁻³

Crystalline Na2InRe at its relaxed geometry, computed with PBE.

a = 8.4211 Å, b = 8.4211 Å, c = 6.5640 Å
α = 50.10°, β = 50.10°, γ = 90.00°
Last column: nearest neighbours and their distance in Å.
Fractional coordinates of all 8 atoms:
Re1 0.0000 0.0000 0.0000  2 In 2.76, 4 Na 3.03
In1 0.5000 0.5000 0.0000  2 Re 2.76, 4 Na 3.09
Na1 0.6301 0.1250 0.2500  2 Na 2.76, 2 Re 3.03, 2 In 3.09
Na2 0.1199 0.6250 0.2500  2 Na 2.76, 2 Re 3.03, 2 In 3.09
Na3 0.8750 0.8801 0.7500  2 Na 2.76, 2 Re 3.03, 2 In 3.09
In2 0.2500 0.7500 0.5000  2 Re 2.76, 4 Na 3.09
Re2 0.7500 0.2500 0.5000  2 In 2.76, 4 Na 3.03
Na4 0.3750 0.3699 0.7500  2 Na 2.76, 2 Re 3.03, 2 In 3.09

Output
Energy relative to the elements ... 1.16 eV/atom
Theoretical density ... 5.884 g cm⁻³

Crystalline NaIn2ReRu at its relaxed geometry, computed with PBE.

a = 4.8183 Å, b = 4.5735 Å, c = 4.8183 Å
α = 90.00°, β = 90.00°, γ = 90.00°
Last column: nearest neighbours and their distance in Å.
Fractional coordinates of all 5 atoms:
Na1 0.0000 0.0000 0.0000  2 Ru 2.29, 4 In 2.41
In1 0.0000 0.0000 0.5000  2 Na 2.41
Ru1 0.0000 0.5000 0.0000  2 Na 2.29
Re1 0.5000 0.5000 0.5000  8 In 3.32, 4 Ru 3.41
In2 0.5000 0.0000 0.0000  2 Na 2.41

Output
Energy relative to the elements ... 2.04 eV/atom
Theoretical density ... 8.444 g cm⁻³

Crystalline Na2InReSe at its relaxed geometry, computed with PBE.

a = 5.6300 Å, b = 5.2489 Å, c = 5.6300 Å
α = 90.00°, β = 90.00°, γ = 90.00°
Last column: nearest neighbours and their distance in Å.
Fractional coordinates of all 5 atoms:
Re1 0.0000 0.0000 0.0000  2 In 2.62, 4 Na 2.81
Na1 0.5000 0.0000 0.0000  2 Re 2.81
Se1 0.5000 0.5000 0.5000  8 Na 3.85, 4 In 3.98
Na2 0.0000 0.0000 0.5000  2 Re 2.81
In1 0.0000 0.5000 0.0000  2 Re 2.62

Output
Formation energy (no corrections) ... 1058 meV/atom
Theoretical density ... 4.251 g cm⁻³

Crystalline Na2InReSe at its relaxed geometry, computed with PBE.

a = 5.5037 Å, b = 5.1465 Å, c = 5.5037 Å
α = 90.00°, β = 90.00°, γ = 90.00°
Last column: nearest neighbours and their distance in Å.
Fractional coordinates of all 5 atoms:
Re1 0.0000 0.5000 0.0000  2 In 2.57
Na1 0.5000 0.0000 0.0000  2 In 2.75
Se1 0.5000 0.5000 0.5000  8 Na 3.77, 4 Re 3.89
Na2 0.0000 0.0000 0.5000  2 In 2.75
In1 0.0000 0.0000 0.0000  2 Re 2.57, 4 Na 2.75

Output
Formation energy (no corrections) ... 1059 meV/atom
Theoretical density ... 4.537 g cm⁻³

Crystalline NaInReSn2 at its relaxed geometry, computed with PBE.

a = 5.2641 Å, b = 5.1497 Å, c = 5.2641 Å
α = 90.00°, β = 90.00°, γ = 90.00°
Last column: nearest neighbours and their distance in Å.
Fractional coordinates of all 5 atoms:
Re1 0.0000 0.5000 0.0000  2 Na 2.57
Sn1 0.0000 0.0000 0.5000  2 Na 2.63
In1 0.5000 0.5000 0.5000  8 Sn 3.68, 4 Re 3.72
Na1 0.0000 0.0000 0.0000  2 Re 2.57, 4 Sn 2.63
Sn2 0.5000 0.0000 0.0000  2 Na 2.63

Output
Energy relative to the elements ... 1.56 eV/atom
Theoretical density ... 6.533 g cm⁻³

Crystalline NaInRh at its relaxed geometry, computed with PBE.

a = 3.1197 Å, b = 4.3297 Å, c = 5.2197 Å
α = 90.00°, β = 90.00°, γ = 90.00°
Last column: nearest neighbours and their distance in Å.
Fractional coordinates of all 3 atoms:
Na1 0.0000 0.5000 0.5000  4 Rh 3.04, 2 Na 3.12, 4 In 3.39
Rh1 0.5000 0.5000 0.0000  4 In 2.67
In1 0.0000 0.0000 0.0000  4 Rh 2.67

Output
Energy relative to the elements ... -0.17 eV/atom
Theoretical density ... 5.669 g cm⁻³

Crystalline NaInRh at its relaxed geometry, computed with PBE.

a = 3.3267 Å, b = 3.3267 Å, c = 6.1653 Å
α = 105.65°, β = 105.65°, γ = 90.00°
Last column: nearest neighbours and their distance in Å.
Fractional coordinates of all 3 atoms:
Na1 0.9864 0.9864 0.9727  4 Rh 3.07, 5 In 3.27-3.38, 4 Na 3.33
In1 0.6997 0.6997 0.3993  4 Rh 2.69
Rh1 0.3140 0.3140 0.6279  4 In 2.69

Output
Energy relative to the elements ... -0.06 eV/atom
Theoretical density ... 6.338 g cm⁻³

Crystalline NaInRh3 at its relaxed geometry, computed with PBE.

a = 4.5212 Å, b = 4.5212 Å, c = 4.5212 Å
α = 90.00°, β = 90.00°, γ = 90.00°
Last column: nearest neighbours and their distance in Å.
Fractional coordinates of all 5 atoms:
Rh1 0.5000 0.0000 0.0000  2 Na 2.26
In1 0.5000 0.5000 0.5000  12 Rh 3.20
Rh2 0.0000 0.5000 0.0000  2 Na 2.26
Na1 0.0000 0.0000 0.0000  6 Rh 2.26
Rh3 0.0000 0.0000 0.5000  2 Na 2.26

Output
Energy relative to the elements ... 1.27 eV/atom
Excess energy over the best structure of this formula in the dataset ... 1.09 eV per formula unit
Theoretical density ... 8.023 g cm⁻³

Crystalline NaIn5Rh4 at its relaxed geometry, computed with PBE.

a = 3.1507 Å, b = 3.1507 Å, c = 18.8880 Å
α = 90.00°, β = 90.00°, γ = 90.00°
Last column: nearest neighbours and their distance in Å.
Fractional coordinates of all 10 atoms:
Rh1 0.0000 0.0000 0.2304  8 In 2.80-2.85
Na1 0.0000 0.0000 0.0000  4 Na 3.15, 8 In 3.40
Rh2 0.0000 0.0000 0.5895  8 In 2.80-2.81
In1 0.5000 0.5000 0.3200  8 Rh 2.80-2.81
Rh3 0.0000 0.0000 0.7696  8 In 2.80-2.85
Rh4 0.0000 0.0000 0.4105  8 In 2.80-2.81
In2 0.5000 0.5000 0.1363  4 Rh 2.85, 4 In 3.15
In3 0.5000 0.5000 0.8637  4 Rh 2.85, 4 In 3.15
In4 0.5000 0.5000 0.6800  8 Rh 2.80-2.81
In5 0.5000 0.5000 0.5000  8 Rh 2.80

Output
Energy relative to the elements ... -0.34 eV/atom
Theoretical density ... 8.933 g cm⁻³

Crystalline NaInRh4 at its relaxed geometry, computed with PBE.

a = 5.2276 Å, b = 5.2276 Å, c = 5.2276 Å
α = 60.00°, β = 60.00°, γ = 60.00°
Last column: nearest neighbours and their distance in Å.
Fractional coordinates of all 6 atoms:
Rh1 0.6251 0.1246 0.6251  6 Rh 2.61-2.62
Rh2 0.6251 0.6251 0.1246  6 Rh 2.61-2.62
In1 0.0000 0.0000 0.0000  12 Rh 3.06, 4 Na 3.20
Rh3 0.6251 0.6251 0.6251  6 Rh 2.61-2.62
Na1 0.2500 0.2500 0.2500  12 Rh 3.07, 4 In 3.20
Rh4 0.1246 0.6251 0.6251  6 Rh 2.61-2.62

Output
Energy relative to the elements ... 0.03 eV/atom
Theoretical density ... 9.032 g cm⁻³

Going through the records in order, we get magnetization values of 0.000; 0.000; 0.000; 0.000; 0.000; 0.000; 0.000; 3.736; 0.000; 4.250; 4.948; 2.938; 3.462; 3.018; 3.297; 0.000; 0.000; 0.000; 0.000; 0.604 Bohr magnetons per cell.
Going through the records in order, we get total energy values of -27.5; -39.3; -24.6; -36.6; -37.6; -20.2; -6.6; -12.1; -20.8; -11.6; -26.4; -18.3; -16.0; -16.0; -16.7; -11.9; -11.6; -19.7; -47.8; -33.3 eV/cell.